This record from the Alexandria database describes a geometry-optimized La4TcSb structure. The functional is GGA-PBE.

Unit cell a=6.5068 b=8.2165 c=8.2165 alpha=114.30 beta=100.34 gamma=100.34
Last column: nearest neighbours and their distance in Å.
Element x y z (fractional)
La 0.4504 0.7227 0.0613  2 Tc 2.98-3.00
La 0.9504 0.0613 0.7227  2 Tc 2.98-3.00
La 0.5496 0.2773 0.9387  2 Tc 2.98-3.00
La 0.6106 0.2117 0.3610  2 Tc 3.02-3.15, 1 Sb 3.28
Sb 0.2500 0.3766 0.6234  8 La 3.28-3.54
La 0.1106 0.3610 0.2117  2 Tc 3.02-3.15, 1 Sb 3.28
Tc 0.2500 0.0008 0.9992  8 La 2.98-3.15, 2 Tc 3.25
La 0.0496 0.9387 0.2773  2 Tc 2.98-3.00
Sb 0.7500 0.6234 0.3766  8 La 3.28-3.54
La 0.3894 0.7883 0.6390  2 Tc 3.02-3.15, 1 Sb 3.28
Tc 0.7500 0.9992 0.0008  8 La 2.98-3.15, 2 Tc 3.25
La 0.8894 0.6390 0.7883  2 Tc 3.02-3.15, 1 Sb 3.28

raw formation energy = -0.440 eV per atom
total DFT energy (no corrections) = -6.14 eV per atom
SG = C2/c, No. 15